1.
A relaxed HoAlZnGe2 crystal, computed with PBE.

Geometry as CIF:
```
data_HoAlZnGe2
_chemical_formula_sum 'Ho4 Al4 Zn4 Ge8'
_cell_length_a 14.409
_cell_length_b 4.074
_cell_length_c 8.126
_cell_angle_alpha 90.00
_cell_angle_beta 102.27
_cell_angle_gamma 90.00
_symmetry_space_group_name_H-M 'C 1 2/m 1'
_symmetry_Int_Tables_number 12
_symmetry_space_group_name_Hall '-C 2y'
loop_
_atom_site_label
_atom_site_fract_x
_atom_site_fract_y
_atom_site_fract_z
Ho1 0.217 0.000 0.188
Al1 0.060 0.500 0.662
Zn1 0.178 0.000 0.540
Ge1 0.119 0.500 0.355
Ge2 0.134 0.000 0.830
```

Properties
The calculation puts the total magnetization at 0.000 Bohr magnetons per cell. The calculated total energy is -4.02 eV per atom. As for the formation energy: -0.251 eV/atom.

2.
A relaxed HoThCdGa crystal, computed with PBE.

Geometry as CIF:
```
data_HoThCdGa
_chemical_formula_sum 'Ho4 Th4 Cd4 Ga4'
_cell_length_a 7.424
_cell_length_b 7.424
_cell_length_c 7.424
_cell_angle_alpha 90.00
_cell_angle_beta 90.00
_cell_angle_gamma 90.00
_symmetry_space_group_name_H-M 'F -4 3 m'
_symmetry_Int_Tables_number 216
_symmetry_space_group_name_Hall 'F -4 2 3'
loop_
_atom_site_label
_atom_site_fract_x
_atom_site_fract_y
_atom_site_fract_z
Ho1 0.000 0.000 0.000
Th1 0.000 0.000 0.500
Cd1 0.250 0.250 0.250
Ga1 0.250 0.250 0.750
```

Properties
The calculation puts the total magnetization at 0.000 Bohr magnetons per cell. The calculated total energy is -4.31 eV per atom. As for the formation energy: -0.325 eV/atom.

3.
A relaxed ZrSb2AsI crystal, computed with PBE.

Geometry as CIF:
```
data_ZrSb2AsI
_chemical_formula_sum 'Zr1 Sb2 As1 I1'
_cell_length_a 5.657
_cell_length_b 5.657
_cell_length_c 5.547
_cell_angle_alpha 90.00
_cell_angle_beta 90.00
_cell_angle_gamma 90.00
_symmetry_space_group_name_H-M 'P 4/m m m'
_symmetry_Int_Tables_number 123
_symmetry_space_group_name_Hall '-P 4 2'
loop_
_atom_site_label
_atom_site_fract_x
_atom_site_fract_y
_atom_site_fract_z
Zr1 0.000 0.000 0.000
Sb1 0.000 0.500 0.000
As1 0.500 0.500 0.500
I1 0.000 0.000 0.500
```

Properties
As for the energy relative to the lowest polymorph listed for this composition: 0 meV/atom. The raw formation energy comes out at 489 meV per atom. The calculation puts the total magnetization at 1.213 Bohr magnetons per cell. The calculated total energy is -4.11 eV per atom.

4.
A relaxed SrSnPb crystal, computed with PBE.

Geometry as CIF:
```
data_SrSnPb
_chemical_formula_sum 'Sr2 Sn2 Pb2'
_cell_length_a 4.098
_cell_length_b 4.098
_cell_length_c 11.722
_cell_angle_alpha 90.00
_cell_angle_beta 90.00
_cell_angle_gamma 90.00
_symmetry_space_group_name_H-M 'I 4 m m'
_symmetry_Int_Tables_number 107
_symmetry_space_group_name_Hall 'I 4 -2'
loop_
_atom_site_label
_atom_site_fract_x
_atom_site_fract_y
_atom_site_fract_z
Sr1 0.000 0.000 0.000
Sn1 0.000 0.000 0.312
Pb1 0.000 0.000 0.695
```

Properties
As for the energy relative to the lowest polymorph listed for this composition: 79 meV/atom. The calculation puts the total magnetization at 0.000 Bohr magnetons per cell. The calculated total energy is -3.48 eV per atom. As for the formation energy: -0.347 eV/atom.